The following is a DFT calculation (GGA+U) of a geometry-optimized Li6VFe5O12 structure.

```
Li6VFe5O12
1.0
-4.7257 -1.6005 -1.2349
-1.7919 -4.4317 1.9043
-5.2204 4.4149 7.5397
Fe O Li V
5 12 6 1
Direct
0.8347 0.3306 0.5000 Fe
0.5012 0.9976 0.5000 Fe
0.6671 0.6658 0.0000 Fe
0.1677 0.6647 0.5000 Fe
0.3338 0.3325 0.0000 Fe
0.6309 0.3335 0.1122 O
0.0356 0.3335 0.8878 O
0.1314 0.9978 0.6140 O
0.8708 0.9978 0.3860 O
0.2996 0.9991 0.1121 O
0.3700 0.6647 0.8878 O
0.2043 0.3312 0.3858 O
0.9653 0.6647 0.1122 O
0.4645 0.3312 0.6142 O
0.5377 0.6644 0.3858 O
0.7013 0.9991 0.8879 O
0.7979 0.6644 0.6142 O
0.2626 0.6627 0.2435 Li
0.7378 0.3363 0.7565 Li
0.0747 0.6627 0.7565 Li
0.9259 0.3363 0.2435 Li
0.5893 0.9996 0.2436 Li
0.4111 0.9996 0.7564 Li
0.0004 0.9991 0.0000 V
```

- SG: C2
- Uncorrected energy: -148.74 eV per formula unit